[1]
## UVP (PBE)

Data for crystalline UVP at its relaxed geometry.

Geometry as POSCAR:
```
UVP
1.0
1.680 -6.793 0.000
1.680 6.793 0.000
0.000 0.000 4.139
U V P
2 2 2
Direct
0.056 0.944 0.750 U
0.944 0.056 0.250 U
0.264 0.736 0.250 V
0.736 0.264 0.750 V
0.366 0.634 0.750 P
0.634 0.366 0.250 P
```

Output
- mass density (Mg/m³) = 11.25
- Fermi-level density of states (states/eV per cell) = 7.7
- formation energy from the elements (meV/atom) = -685
- M_tot (μB per cell) = 1.0


[2]
## UVP (PBE)

Data for crystalline UVP at its relaxed geometry.

Geometry as POSCAR:
```
UVP
1.0
4.163 0.000 0.000
-2.081 3.605 0.000
0.000 0.000 3.381
U V P
1 1 1
Direct
0.000 0.000 0.000 U
0.667 0.333 0.500 V
0.333 0.667 0.500 P
```

Output
- mass density (Mg/m³) = 10.47
- Fermi-level density of states (states/eV per cell) = 6.6
- formation energy from the elements (meV/atom) = -448
- M_tot (μB per cell) = 0.7


| no. | total energy (eV/atom) |
| --- | --- |
| 1 | -9.29 |
| 2 | -9.05 |